First-principles (GGA-PBE) data for a relaxed structure of ErIn4Cl6, as listed in the Alexandria database.

Output
Fermi-level density of states: 2.85 states/eV/f.u.
SG: P4/mnc (128)
electronic total energy: -78.8 eV/cell
ΔE_f (raw): -1.1660 eV/atom
ρ: 3.7 g cm⁻³

```
ErIn4Cl6
1.0
8.3740 0.0000 0.0000
0.0000 8.3740 0.0000
0.0000 0.0000 10.7297
Er In Cl
2 8 12
Direct
0.0000 0.0000 0.0000
0.5000 0.5000 0.5000
0.1518 0.3482 0.2500
0.1518 0.3482 0.7500
0.3482 0.8482 0.2500
0.3482 0.8482 0.7500
0.6518 0.1518 0.2500
0.6518 0.1518 0.7500
0.8482 0.6518 0.2500
0.8482 0.6518 0.7500
0.0000 0.0000 0.2466
0.0000 0.0000 0.7534
0.1788 0.7426 0.0000
0.2426 0.6788 0.5000
0.2574 0.1788 0.0000
0.3212 0.2426 0.5000
0.5000 0.5000 0.2534
0.5000 0.5000 0.7466
0.6788 0.7574 0.5000
0.7426 0.8212 0.0000
0.7574 0.3212 0.5000
0.8212 0.2574 0.0000
```